(1)
This record from Alexandria via LeMat-Bulk describes a geometry-optimized Tl2Te6Au structure. The functional is PBE-GGA.

Theoretical density   6.7 g/cm3
Electronic total energy   -3.06 eV/atom
DOS at the Fermi energy   0.669 states/eV per atom
Raw formation energy   -0.08 eV/atom
Space-group type   P2_1/c (14)

Cell lengths 5.2066, 8.5340, 15.2986 Å; angles 90.00, 93.89, 90.00 degrees
Positions (direct):
Tl1 0.2449 0.1974 0.4429
Tl2 0.2449 0.3026 0.9429
Tl3 0.7551 0.6974 0.0571
Tl4 0.7551 0.8026 0.5571
Te1 0.2206 0.5064 0.6377
Te2 0.2206 0.9936 0.1377
Te3 0.2563 0.0009 0.6328
Te4 0.2563 0.4991 0.1328
Te5 0.4949 0.2452 0.7463
Te6 0.4949 0.2548 0.2463
Te7 0.5051 0.7452 0.7537
Te8 0.5051 0.7548 0.2537
Te9 0.7437 0.5009 0.8672
Te10 0.7437 0.9991 0.3672
Te11 0.7794 0.0064 0.8623
Te12 0.7794 0.4936 0.3623
Au1 0.5000 0.0000 0.0000
Au2 0.5000 0.5000 0.5000

=====

(2)
This record from Alexandria via LeMat-Bulk describes a geometry-optimized PuMnP structure. The functional is PBE-GGA.

Theoretical density   11.0 g/cm3
Electronic total energy   -10.37 eV/atom
DOS at the Fermi energy   2.104 states/eV per atom
Space-group type   P4/nmm (129)

Cell lengths 3.8938, 3.8938, 6.5730 Å; angles 90.00, 90.00, 90.00 degrees
Positions (direct):
Pu1 0.2500 0.2500 0.1673
Pu2 0.7500 0.7500 0.8327
Mn1 0.2500 0.7500 0.5000
Mn2 0.7500 0.2500 0.5000
P1 0.2500 0.2500 0.6968
P2 0.7500 0.7500 0.3032

=====

(3)
This record from Alexandria via LeMat-Bulk describes a geometry-optimized CsNpTlBr6 structure. The functional is PBE-GGA.

Theoretical density   4.5 g/cm3
Electronic total energy   -4.22 eV/atom
DOS at the Fermi energy   0.552 states/eV per atom
Raw formation energy   -1.31 eV/atom
Space-group type   P-31c (163)

Cell lengths 8.5460, 8.5460, 12.4097 Å; angles 90.00, 90.00, 120.00 degrees
Positions (direct):
Cs1 0.3333 0.6667 0.2500
Cs2 0.6667 0.3333 0.7500
Np1 0.3333 0.6667 0.7500
Np2 0.6667 0.3333 0.2500
Tl1 0.0000 0.0000 0.0000
Tl2 0.0000 0.0000 0.5000
Br1 0.0762 0.3929 0.6204
Br2 0.0762 0.6833 0.8796
Br3 0.3167 0.3929 0.8796
Br4 0.3167 0.9238 0.6204
Br5 0.3929 0.0762 0.1204
Br6 0.3929 0.3167 0.3796
Br7 0.6071 0.6833 0.6204
Br8 0.6071 0.9238 0.8796
Br9 0.6833 0.0762 0.3796
Br10 0.6833 0.6071 0.1204
Br11 0.9238 0.3167 0.1204
Br12 0.9238 0.6071 0.3796

=====

(4)
This record from Alexandria via LeMat-Bulk describes a geometry-optimized Li2Pm2DyTl2 structure. The functional is PBE-GGA.

Theoretical density   7.8 g/cm3
Electronic total energy   -3.43 eV/atom
DOS at the Fermi energy   0.816 states/eV per atom
Space-group type   R-3m (166)

Cell lengths 9.5120, 9.5120, 9.5120 Å; angles 29.57, 29.57, 29.57 degrees
Positions (direct):
Li1 0.1086 0.1086 0.1086
Li2 0.8914 0.8914 0.8914
Pm1 0.3737 0.3737 0.3737
Pm2 0.6263 0.6263 0.6263
Dy1 0.5000 0.5000 0.5000
Tl1 0.2346 0.2346 0.2346
Tl2 0.7654 0.7654 0.7654